# Al2TeOs

A relaxed Al2TeOs crystal (PBE-GGA, Alexandria).

a b c (Å): 3.4749 3.4758 6.4685
angles (deg): 90.00 90.00 90.00
With the nearest neighbours (Å) after each atom.
Sites, in units of the cell vectors:
1 Os 0.0000 0.0000 0.3882  5 Al 2.39-2.54
2 Al 0.5000 0.5000 0.2892  4 Os 2.54
3 Al 0.0000 0.0000 0.0187  1 Os 2.39
4 Te 0.5000 0.5000 0.8039  5 Al 2.82-3.14

Summary:
Symmetry = P4mm

=====

# AlTeOs3

A relaxed AlTeOs3 crystal (PBE-GGA, Alexandria).

a b c (Å): 4.7753 4.7753 4.7753
angles (deg): 90.00 90.00 90.00
With the nearest neighbours (Å) after each atom.
Sites, in units of the cell vectors:
1 Al 0.5000 0.5000 0.5000  12 Os 3.38
2 Os 0.0000 0.5000 0.0000  2 Te 2.39
3 Os 0.5000 0.0000 0.0000  2 Te 2.39
4 Os 0.0000 0.0000 0.5000  2 Te 2.39
5 Te 0.0000 0.0000 0.0000  6 Os 2.39

Summary:
Symmetry = Pm-3m

=====

# Al2TeOs

A relaxed Al2TeOs crystal (PBE-GGA, Alexandria).

a b c (Å): 5.0815 5.0815 5.0815
angles (deg): 138.58 125.27 70.89
With the nearest neighbours (Å) after each atom.
Sites, in units of the cell vectors:
1 Al 0.5155 0.5155 0.0000  2 Os 2.65, 2 Te 2.84, 4 Al 2.96
2 Al 0.9845 0.9845 0.0000  2 Os 2.65, 2 Te 2.84, 4 Al 2.96
3 Te 0.2500 0.7500 0.5000  8 Al 2.84-3.04, 4 Os 2.95
4 Os 0.7500 0.2500 0.5000  4 Al 2.65, 4 Te 2.95

Summary:
Symmetry = Immm

=====

# Al2TeOs

A relaxed Al2TeOs crystal (PBE-GGA, Alexandria).

a b c (Å): 4.2747 4.1078 5.4465
angles (deg): 67.73 90.00 90.00
With the nearest neighbours (Å) after each atom.
Sites, in units of the cell vectors:
1 Al 0.5000 0.6091 0.1561  2 Os 2.51
2 Al 0.0000 0.0977 0.1793  2 Os 2.38
3 Os 0.0000 0.4784 0.4168  4 Al 2.38-2.51
4 Te 0.5000 0.3149 0.7478  2 Os 2.71, 3 Al 2.91-2.98

Summary:
Symmetry = Pm

=====

# Al2TlTeOs

A relaxed Al2TlTeOs crystal (PBE-GGA, Alexandria).

a b c (Å): 4.8137 5.4801 4.8137
angles (deg): 90.00 90.00 90.00
With the nearest neighbours (Å) after each atom.
Sites, in units of the cell vectors:
1 Al 0.5000 0.0000 0.0000  2 Os 2.41
2 Al 0.0000 0.0000 0.5000  2 Os 2.41
3 Te 0.0000 0.5000 0.0000  2 Os 2.74
4 Os 0.0000 0.0000 0.0000  4 Al 2.41
5 Tl 0.5000 0.5000 0.5000  4 Te 3.40, 8 Al 3.65

Summary:
Symmetry = P4/mmm

=====

# ZrAl2TeOs

A relaxed ZrAl2TeOs crystal (PBE-GGA, Alexandria).

a b c (Å): 4.7931 5.1032 4.7931
angles (deg): 90.00 90.00 90.00
With the nearest neighbours (Å) after each atom.
Sites, in units of the cell vectors:
1 Zr 0.0000 0.5000 0.0000  2 Os 2.55
2 Al 0.0000 0.0000 0.5000  2 Os 2.40
3 Al 0.5000 0.0000 0.0000  2 Os 2.40
4 Os 0.0000 0.0000 0.0000  4 Al 2.40, 2 Zr 2.55
5 Te 0.5000 0.5000 0.5000  4 Zr 3.39, 8 Al 3.50

Summary:
Symmetry = P4/mmm

=====

Number 1: ΔE_f (raw) 72.6 kJ/mol of formula units, VASP energy -5.276 eV per atom, volume 78 Å³/cell. Number 2: ΔE_f (raw) 1122.8 kJ/mol of formula units, VASP energy -5.787 eV per atom, volume 109 Å³/cell. Number 3: ΔE_f (raw) 109.1 kJ/mol of formula units, VASP energy -5.181 eV per atom, volume 69 Å³/cell. Number 4: ΔE_f (raw) 6.5 kJ/mol of formula units, VASP energy -5.447 eV per atom, volume 89 Å³/cell. Number 5: ΔE_f (raw) 105.9 kJ/mol of formula units, VASP energy -4.625 eV per atom, volume 127 Å³/cell. Number 6: ΔE_f (raw) -29.0 kJ/mol of formula units, VASP energy -6.141 eV per atom, volume 117 Å³/cell.